Record 1
Computed, not measured: a relaxed Ba3ScIn2O8 crystal at the PBE level of DFT.

## Properties
The value obtained for the formation energy without anion corrections is -2196 meV per atom.

Unit cell a=6.0190 b=6.0190 c=7.8322 alpha=90.00 beta=90.00 gamma=120.00
Space group P-3m1 (No. 164)
Inequivalent atoms, fractional coordinates:
Ba 0.0000 0.0000 0.0000 x1
Ba 0.3333 0.6667 0.6343 x2
Sc 0.0000 0.0000 0.5000 x1
In 0.3333 0.6667 0.2014 x2
O 0.1595 0.3191 0.3335 x6
O 0.3333 0.6667 0.9474 x2

---

Record 2
Computed, not measured: a relaxed Pm2Ge3Ir5 crystal at the PBE level of DFT.

## Properties
The polymorph energy (0 for the lowest one) comes out at 1.69 eV/f.u. The value obtained for the energy of formation from the pure elements is -0.362 eV/atom.

Unit cell a=4.070 b=4.070 c=11.373 alpha=90.00 beta=90.00 gamma=90.00
Space group P-4m2 (No. 115)
Inequivalent atoms, fractional coordinates:
Pm 0.000 0.500 0.229 x2
Ge 0.000 0.500 0.640 x2
Ge 0.500 0.500 0.500 x1
Ir 0.000 0.000 0.000 x1
Ir 0.000 0.000 0.500 x1
Ir 0.000 0.500 0.850 x2
Ir 0.500 0.500 0.000 x1

---

For each record above, in turn, the calculated magnetic moment values are 1.12, 0.00 μB/f.u..